(1)
The following is a DFT calculation (PBE) of crystalline Th2BeAg at its relaxed geometry.

a b c (Å): 3.396 3.396 8.154
angles (deg): 90.00 90.00 90.00
Fractional coordinates of all 4 atoms:
Th: 0.000 0.000 0.226
Th: 0.000 0.000 0.774
Be: 0.500 0.500 0.000
Ag: 0.500 0.500 0.500

Summary:
Formation enthalpy at 0 K, meV/atom: 75

(2)
The following is a DFT calculation (PBE) of crystalline TiBe3Ag at its relaxed geometry.

a b c (Å): 4.189 4.189 4.189
angles (deg): 90.00 90.00 90.00
Fractional coordinates of all 5 atoms:
Ti: 0.000 0.000 0.000
Be: 0.000 0.500 0.500
Be: 0.500 0.000 0.500
Be: 0.500 0.500 0.000
Ag: 0.500 0.500 0.500

Summary:
Formation enthalpy at 0 K, meV/atom: 750
Energy relative to the lowest polymorph listed for this composition, meV per atom: 0

(3)
The following is a DFT calculation (PBE) of crystalline Ti2BeAg at its relaxed geometry.

a b c (Å): 9.963 9.963 9.963
angles (deg): 15.84 15.84 15.84
Fractional coordinates of all 4 atoms:
Ti: 0.095 0.095 0.095
Ti: 0.905 0.905 0.905
Be: 0.500 0.500 0.500
Ag: 0.000 0.000 0.000

Summary:
Formation enthalpy at 0 K, meV/atom: 359
Energy relative to the lowest polymorph listed for this composition, meV per atom: 362

(4)
The following is a DFT calculation (PBE) of crystalline Ti2Be2Ag at its relaxed geometry.

a b c (Å): 6.232 6.232 3.494
angles (deg): 90.00 90.00 90.00
Fractional coordinates of all 10 atoms:
Ti: 0.166 0.334 0.000
Ti: 0.334 0.834 0.000
Ti: 0.666 0.166 0.000
Ti: 0.834 0.666 0.000
Be: 0.125 0.625 0.500
Be: 0.375 0.125 0.500
Be: 0.625 0.875 0.500
Be: 0.875 0.375 0.500
Ag: 0.000 0.000 0.500
Ag: 0.500 0.500 0.500

Summary:
Formation enthalpy at 0 K, meV/atom: -81

(5)
The following is a DFT calculation (PBE) of crystalline Ti4BeAg at its relaxed geometry.

a b c (Å): 2.952 2.952 10.923
angles (deg): 90.00 90.00 90.00
Fractional coordinates of all 6 atoms:
Ti: 0.000 0.000 0.138
Ti: 0.000 0.000 0.862
Ti: 0.500 0.500 0.310
Ti: 0.500 0.500 0.690
Be: 0.500 0.500 0.000
Ag: 0.000 0.000 0.500

Summary:
Formation enthalpy at 0 K, meV/atom: -61

(6)
The following is a DFT calculation (PBE) of crystalline Ti2BeAg at its relaxed geometry.

a b c (Å): 4.458 4.458 4.458
angles (deg): 60.00 60.00 60.00
Fractional coordinates of all 4 atoms:
Ti: 0.250 0.250 0.250
Ti: 0.750 0.750 0.750
Be: 0.000 0.000 0.000
Ag: 0.500 0.500 0.500

Summary:
Formation enthalpy at 0 K, meV/atom: 175
Energy relative to the lowest polymorph listed for this composition, meV per atom: 177

(7)
The following is a DFT calculation (PBE) of crystalline Ti3BeAg at its relaxed geometry.

a b c (Å): 4.817 4.817 4.817
angles (deg): 90.00 90.00 90.00
Fractional coordinates of all 5 atoms:
Ti: 0.000 0.000 0.500
Ti: 0.000 0.500 0.000
Ti: 0.500 0.000 0.000
Be: 0.500 0.500 0.500
Ag: 0.000 0.000 0.000

Summary:
Formation enthalpy at 0 K, meV/atom: 1411
Energy relative to the lowest polymorph listed for this composition, meV per atom: 981

(8)
The following is a DFT calculation (PBE) of crystalline TiBe2Ag at its relaxed geometry.

a b c (Å): 2.877 2.877 6.183
angles (deg): 90.00 90.00 90.00
Fractional coordinates of all 4 atoms:
Ti: 0.000 0.000 0.000
Be: 0.500 0.500 0.259
Be: 0.500 0.500 0.741
Ag: 0.000 0.000 0.500

Summary:
Formation enthalpy at 0 K, meV/atom: 60
Energy relative to the lowest polymorph listed for this composition, meV per atom: 0

(9)
The following is a DFT calculation (PBE) of crystalline TiBe2Ag at its relaxed geometry.

a b c (Å): 8.505 8.505 8.505
angles (deg): 153.37 153.37 38.01
Fractional coordinates of all 8 atoms:
Ti: 0.000 0.000 0.000
Ti: 0.750 0.250 0.500
Be: 0.265 0.625 0.140
Be: 0.375 0.515 0.640
Be: 0.485 0.125 0.860
Be: 0.875 0.735 0.360
Ag: 0.250 0.750 0.500
Ag: 0.500 0.500 0.000

Summary:
Formation enthalpy at 0 K, meV/atom: 650
Energy relative to the lowest polymorph listed for this composition, meV per atom: 590

(10)
The following is a DFT calculation (PBE) of crystalline Ti3BeAg at its relaxed geometry.

a b c (Å): 4.394 4.394 4.394
angles (deg): 90.00 90.00 90.00
Fractional coordinates of all 5 atoms:
Ti: 0.000 0.000 0.500
Ti: 0.000 0.500 0.000
Ti: 0.500 0.000 0.000
Be: 0.000 0.000 0.000
Ag: 0.500 0.500 0.500

Summary:
Formation enthalpy at 0 K, meV/atom: 430
Energy relative to the lowest polymorph listed for this composition, meV per atom: 0

(11)
The following is a DFT calculation (PBE) of crystalline TiBeAg2 at its relaxed geometry.

a b c (Å): 9.601 9.601 9.601
angles (deg): 157.10 157.10 32.61
Fractional coordinates of all 8 atoms:
Ti: 0.000 0.000 0.000
Ti: 0.750 0.250 0.500
Be: 0.250 0.750 0.500
Be: 0.500 0.500 0.000
Ag: 0.138 0.625 0.013
Ag: 0.375 0.388 0.513
Ag: 0.612 0.125 0.987
Ag: 0.875 0.862 0.487

Summary:
Formation enthalpy at 0 K, meV/atom: 493
Energy relative to the lowest polymorph listed for this composition, meV per atom: 324

(12)
The following is a DFT calculation (PBE) of crystalline TiBe2Ag at its relaxed geometry.

a b c (Å): 4.144 4.144 4.144
angles (deg): 60.00 60.00 60.00
Fractional coordinates of all 4 atoms:
Ti: 0.000 0.000 0.000
Be: 0.250 0.250 0.250
Be: 0.750 0.750 0.750
Ag: 0.500 0.500 0.500

Summary:
Formation enthalpy at 0 K, meV/atom: 67
Energy relative to the lowest polymorph listed for this composition, meV per atom: 7

(13)
The following is a DFT calculation (PBE) of crystalline TiBe3Ag at its relaxed geometry.

a b c (Å): 4.471 4.471 4.471
angles (deg): 90.00 90.00 90.00
Fractional coordinates of all 5 atoms:
Ti: 0.000 0.000 0.000
Be: 0.000 0.000 0.500
Be: 0.000 0.500 0.000
Be: 0.500 0.000 0.000
Ag: 0.500 0.500 0.500

Summary:
Formation enthalpy at 0 K, meV/atom: 1604
Energy relative to the lowest polymorph listed for this composition, meV per atom: 854

(14)
The following is a DFT calculation (PBE) of crystalline Ti2BeAg at its relaxed geometry.

a b c (Å): 2.833 2.833 7.452
angles (deg): 90.00 90.00 90.00
Fractional coordinates of all 4 atoms:
Ti: 0.000 0.000 0.211
Ti: 0.000 0.000 0.789
Be: 0.500 0.500 0.000
Ag: 0.500 0.500 0.500

Summary:
Formation enthalpy at 0 K, meV/atom: -3
Energy relative to the lowest polymorph listed for this composition, meV per atom: 0

(15)
The following is a DFT calculation (PBE) of crystalline TiBeAg2 at its relaxed geometry.

a b c (Å): 4.426 4.426 4.426
angles (deg): 60.00 60.00 60.00
Fractional coordinates of all 4 atoms:
Ti: 0.000 0.000 0.000
Be: 0.500 0.500 0.500
Ag: 0.250 0.250 0.250
Ag: 0.750 0.750 0.750

Summary:
Formation enthalpy at 0 K, meV/atom: 169
Energy relative to the lowest polymorph listed for this composition, meV per atom: 0

(16)
The following is a DFT calculation (PBE) of crystalline Ti2BeAg at its relaxed geometry.

a b c (Å): 10.241 10.241 10.241
angles (deg): 159.83 159.83 28.67
Fractional coordinates of all 8 atoms:
Ti: 0.116 0.625 0.991
Ti: 0.375 0.366 0.491
Ti: 0.634 0.125 0.009
Ti: 0.875 0.884 0.509
Be: 0.000 0.000 0.000
Be: 0.750 0.250 0.500
Ag: 0.250 0.750 0.500
Ag: 0.500 0.500 0.000

Summary:
Formation enthalpy at 0 K, meV/atom: 529
Energy relative to the lowest polymorph listed for this composition, meV per atom: 532

(17)
The following is a DFT calculation (PBE) of crystalline TiBeAg2W at its relaxed geometry.

a b c (Å): 4.188 4.188 4.540
angles (deg): 90.00 90.00 90.00
Fractional coordinates of all 5 atoms:
Ti: 0.000 0.000 0.000
Be: 0.000 0.000 0.500
Ag: 0.000 0.500 0.500
Ag: 0.500 0.000 0.500
W: 0.500 0.500 0.000

Summary:
Formation enthalpy at 0 K, meV/atom: 854

(18)
The following is a DFT calculation (PBE) of crystalline Ti2BeZnAg at its relaxed geometry.

a b c (Å): 4.431 4.431 4.144
angles (deg): 90.00 90.00 90.00
Fractional coordinates of all 5 atoms:
Ti: 0.000 0.500 0.000
Ti: 0.500 0.000 0.000
Be: 0.000 0.000 0.000
Zn: 0.000 0.000 0.500
Ag: 0.500 0.500 0.500

Summary:
Formation enthalpy at 0 K, meV/atom: 344

(19)
The following is a DFT calculation (PBE) of crystalline BeTlAg2 at its relaxed geometry.

a b c (Å): 8.531 8.531 8.531
angles (deg): 21.83 21.83 21.83
Fractional coordinates of all 4 atoms:
Be: 0.000 0.000 0.000
Tl: 0.500 0.500 0.500
Ag: 0.270 0.270 0.270
Ag: 0.730 0.730 0.730

Summary:
Formation enthalpy at 0 K, meV/atom: 333
Energy relative to the lowest polymorph listed for this composition, meV per atom: 104

(20)
The following is a DFT calculation (PBE) of crystalline BeTlAg2 at its relaxed geometry.

a b c (Å): 4.677 4.677 4.677
angles (deg): 60.00 60.00 60.00
Fractional coordinates of all 4 atoms:
Be: 0.000 0.000 0.000
Tl: 0.500 0.500 0.500
Ag: 0.250 0.250 0.250
Ag: 0.750 0.750 0.750

Summary:
Formation enthalpy at 0 K, meV/atom: 445
Energy relative to the lowest polymorph listed for this composition, meV per atom: 215

(21)
The following is a DFT calculation (PBE) of crystalline BeTlAg2 at its relaxed geometry.

a b c (Å): 3.592 3.045 7.009
angles (deg): 90.00 104.21 90.00
Fractional coordinates of all 4 atoms:
Be: 0.000 0.000 0.000
Tl: 0.814 0.500 0.667
Ag: 0.177 0.000 0.366
Ag: 0.549 0.500 0.102

Summary:
Formation enthalpy at 0 K, meV/atom: 264
Energy relative to the lowest polymorph listed for this composition, meV per atom: 35

(22)
The following is a DFT calculation (PBE) of crystalline BeTlAg2 at its relaxed geometry.

a b c (Å): 5.027 5.027 3.112
angles (deg): 90.00 90.00 110.90
Fractional coordinates of all 4 atoms:
Be: 0.000 0.000 0.000
Tl: 0.500 0.500 0.000
Ag: 0.000 0.500 0.500
Ag: 0.500 0.000 0.500

Summary:
Formation enthalpy at 0 K, meV/atom: 455
Energy relative to the lowest polymorph listed for this composition, meV per atom: 226

(23)
The following is a DFT calculation (PBE) of crystalline BeTlAg2 at its relaxed geometry.

a b c (Å): 6.978 6.978 6.978
angles (deg): 155.21 147.15 41.58
Fractional coordinates of all 4 atoms:
Be: 0.000 0.000 0.000
Tl: 0.199 0.699 0.500
Ag: 0.510 0.510 0.000
Ag: 0.847 0.347 0.500

Summary:
Formation enthalpy at 0 K, meV/atom: 286
Energy relative to the lowest polymorph listed for this composition, meV per atom: 57

(24)
The following is a DFT calculation (PBE) of crystalline Be2TlAg2 at its relaxed geometry.

a b c (Å): 8.622 8.622 8.622
angles (deg): 158.90 158.90 30.01
Fractional coordinates of all 5 atoms:
Be: 0.250 0.750 0.500
Be: 0.750 0.250 0.500
Tl: 0.000 0.000 0.000
Ag: 0.363 0.363 0.000
Ag: 0.637 0.637 0.000

Summary:
Formation enthalpy at 0 K, meV/atom: 276
Energy relative to the lowest polymorph listed for this composition, meV per atom: 0

(25)
The following is a DFT calculation (PBE) of crystalline Be4TlAg at its relaxed geometry.

a b c (Å): 4.757 4.757 4.757
angles (deg): 60.00 60.00 60.00
Fractional coordinates of all 6 atoms:
Be: 0.377 0.377 0.377
Be: 0.377 0.377 0.869
Be: 0.377 0.869 0.377
Be: 0.869 0.377 0.377
Tl: 0.000 0.000 0.000
Ag: 0.750 0.750 0.750

Summary:
Formation enthalpy at 0 K, meV/atom: 397

(26)
The following is a DFT calculation (PBE) of crystalline Be2TlAg2 at its relaxed geometry.

a b c (Å): 7.526 7.526 2.884
angles (deg): 90.00 90.00 90.00
Fractional coordinates of all 10 atoms:
Be: 0.155 0.345 0.000
Be: 0.345 0.845 0.000
Be: 0.655 0.155 0.000
Be: 0.845 0.655 0.000
Tl: 0.000 0.000 0.500
Tl: 0.500 0.500 0.500
Ag: 0.136 0.636 0.500
Ag: 0.364 0.136 0.500
Ag: 0.636 0.864 0.500
Ag: 0.864 0.364 0.500

Summary:
Formation enthalpy at 0 K, meV/atom: 420
Energy relative to the lowest polymorph listed for this composition, meV per atom: 143

(27)
The following is a DFT calculation (PBE) of crystalline BeTlAg2 at its relaxed geometry.

a b c (Å): 5.019 5.019 5.019
angles (deg): 130.37 130.37 72.81
Fractional coordinates of all 4 atoms:
Be: 0.000 0.000 0.000
Tl: 0.250 0.750 0.500
Ag: 0.500 0.500 0.000
Ag: 0.750 0.250 0.500

Summary:
Formation enthalpy at 0 K, meV/atom: 408
Energy relative to the lowest polymorph listed for this composition, meV per atom: 179

(28)
The following is a DFT calculation (PBE) of crystalline BeTlAg2 at its relaxed geometry.

a b c (Å): 2.983 2.983 8.341
angles (deg): 90.00 90.00 90.00
Fractional coordinates of all 4 atoms:
Be: 0.000 0.000 0.000
Tl: 0.000 0.000 0.500
Ag: 0.500 0.500 0.175
Ag: 0.500 0.500 0.825

Summary:
Formation enthalpy at 0 K, meV/atom: 229
Energy relative to the lowest polymorph listed for this composition, meV per atom: 0

(29)
The following is a DFT calculation (PBE) of crystalline BeTlAg2 at its relaxed geometry.

a b c (Å): 4.090 4.090 4.279
angles (deg): 90.00 90.00 90.00
Fractional coordinates of all 4 atoms:
Be: 0.000 0.000 0.000
Tl: 0.500 0.500 0.000
Ag: 0.000 0.500 0.500
Ag: 0.500 0.000 0.500

Summary:
Formation enthalpy at 0 K, meV/atom: 404
Energy relative to the lowest polymorph listed for this composition, meV per atom: 175